This record from the Alexandria database describes a geometry-optimized La3SnO structure. The functional is PBE-GGA.

Output
- uncorrected energy (eV per atom) = -6.214
- ΔE_f (raw) (eV per atom) = -1.47
- M_tot (μB per formula unit) = 0.00

Geometry as POSCAR:
```
La3SnO
1.0
-6.1756 -2.3518 2.5388
1.7657 -0.5987 -6.8283
1.9127 -6.5367 0.3983
La Sn O
6 2 2
Cartesian
-0.3442 -3.4416 0.3145
-3.1391 -5.0477 -1.1334
-1.5926 -8.1856 -1.6309
0.6573 -5.4551 -2.5770
-4.2695 -3.0633 1.9074
1.7879 -7.4391 -5.6178
-0.2833 -2.1837 -2.7946
-3.2978 -6.3288 2.0882
-4.0320 -3.9992 -3.1168
-0.8708 -5.7923 -0.7729
```